Record 1
VASP calculation (PBE-GGA) on a relaxed CeSm4Er3S8 crystal.

As for the total magnetization: 0.01 Bohr magnetons per cell. The uncorrected formation energy is -2.003 eV per atom.

It has space group R-3m (No. 166, hexagonal axes), with a = 7.9044 Å, b = 7.9044 Å, c = 19.4234 Å, α = 90.00°, β = 90.00° and γ = 120.00°. The distinct sites, in fractional coordinates, are Ce at (0.0000, 0.0000, 0.0000), Sm at (0.0000, 0.0000, 0.5000), Sm at (0.0000, 0.5000, 0.5000), Er at (0.0000, 0.5000, 0.0000), S at (0.0000, 0.0000, 0.2547) and S at (0.0059, 0.5030, 0.2532).

***

Record 2
VASP calculation (PBE-GGA) on a relaxed InPRh2 crystal.

As for the total magnetization: 0.00 Bohr magnetons per cell. The calculated formation energy comes out at -315.7 meV/atom.

It has space group Pmm2 (No. 25), with a = 3.0176 Å, b = 3.6362 Å, c = 5.9530 Å, α = 90.00°, β = 90.00° and γ = 90.00°. The distinct sites, in fractional coordinates, are In at (0.0000, 0.0000, 0.0000), P at (0.5000, 0.5000, 0.3758), Rh at (0.0000, 0.0000, 0.4742) and Rh at (0.5000, 0.5000, 0.7635).